DFT (PBE) results for an optimized crystal structure of LuMnAgPt.

a b c (Å): 4.710 4.710 4.710
angles (deg): 60.00 60.00 60.00
Element x y z (fractional)
Lu  0.000  0.000  0.000
Mn  0.500  0.500  0.500
Ag  0.750  0.750  0.750
Pt  0.250  0.250  0.250

Computed properties:
N(E_F)	2.3	states/eV per cell
energy	-6.095	eV/atom
ΔE_f	-449	meV/atom

=====

DFT (PBE) results for an optimized crystal structure of Zr2GaO.

a b c (Å): 6.672 6.672 6.672
angles (deg): 131.00 131.00 71.81
Element x y z (fractional)
Zr  0.032  0.625  0.907
Zr  0.375  0.282  0.407
Zr  0.718  0.125  0.093
Zr  0.875  0.968  0.593
Ga  0.250  0.750  0.500
Ga  0.500  0.500  0.000
O  0.000  0.000  0.000
O  0.750  0.250  0.500

Computed properties:
formation energy (no corrections)	-4.205	eV/f.u.
N(E_F)	4.5	states/eV per cell
polymorph energy (0 for the lowest one)	0	meV/atom
energy	-7.322	eV/atom

=====

DFT (PBE) results for an optimized crystal structure of LiGa4Ru.

a b c (Å): 4.346 4.346 5.534
angles (deg): 90.59 90.59 90.32
Element x y z (fractional)
Li  0.000  0.000  0.000
Ga  0.003  0.496  0.748
Ga  0.496  0.003  0.748
Ga  0.504  0.997  0.252
Ga  0.997  0.504  0.252
Ru  0.500  0.500  0.500

Computed properties:
N(E_F)	3.3	states/eV per cell
energy	-3.976	eV/atom
ΔE_f	-93	meV/atom

=====

DFT (PBE) results for an optimized crystal structure of BeAsSe2.

a b c (Å): 6.985 6.985 6.985
angles (deg): 37.08 37.08 37.08
Element x y z (fractional)
Be  0.000  0.000  0.000
As  0.500  0.500  0.500
Se  0.105  0.105  0.105
Se  0.895  0.895  0.895

Computed properties:
formation energy (no corrections)	0.669	eV/f.u.
N(E_F)	2.0	states/eV per cell
polymorph energy (0 for the lowest one)	283	meV/atom
energy	-3.669	eV/atom

=====

DFT (PBE) results for an optimized crystal structure of Te8Ir3.

a b c (Å): 6.518 6.518 6.518
angles (deg): 90.91 90.91 90.91
Element x y z (fractional)
Te  0.129  0.377  0.631
Te  0.132  0.132  0.132
Te  0.369  0.871  0.623
Te  0.377  0.631  0.129
Te  0.623  0.369  0.871
Te  0.631  0.129  0.377
Te  0.868  0.868  0.868
Te  0.871  0.623  0.369
Ir  0.000  0.000  0.500
Ir  0.000  0.500  0.000
Ir  0.500  0.000  0.000

Computed properties:
formation energy (no corrections)	-2.716	eV/f.u.
N(E_F)	5.6	states/eV per cell
energy	-4.948	eV/atom

=====

DFT (PBE) results for an optimized crystal structure of TbEr3Ag.

a b c (Å): 6.641 6.641 7.674
angles (deg): 107.50 107.50 67.61
Element x y z (fractional)
Tb  0.059  0.059  0.239
Tb  0.941  0.941  0.761
Er  0.088  0.587  0.351
Er  0.413  0.912  0.649
Er  0.440  0.440  0.758
Er  0.560  0.560  0.242
Er  0.587  0.088  0.351
Er  0.912  0.413  0.649
Ag  0.255  0.255  0.000
Ag  0.745  0.745  0.000

Computed properties:
N(E_F)	10.2	states/eV per cell
energy	-4.241	eV/atom
ΔE_f	-7	meV/atom

=====

DFT (PBE) results for an optimized crystal structure of Pm2Pr2Rh3.

a b c (Å): 4.189 7.065 7.095
angles (deg): 100.41 90.09 107.18
Element x y z (fractional)
Pm  0.138  0.272  0.361
Pm  0.862  0.728  0.639
Pr  0.376  0.751  0.116
Pr  0.624  0.249  0.884
Rh  0.000  0.000  0.000
Rh  0.240  0.483  0.742
Rh  0.760  0.517  0.258

Computed properties:
N(E_F)	4.1	states/eV per cell
polymorph energy (0 for the lowest one)	83	meV/atom
energy	-6.418	eV/atom
ΔE_f	-544	meV/atom

=====

DFT (PBE) results for an optimized crystal structure of Al2VZnPd.

a b c (Å): 4.523 4.523 4.553
angles (deg): 90.00 90.00 90.00
Element x y z (fractional)
Al  0.000  0.500  0.000
Al  0.500  0.000  0.000
V  0.000  0.000  0.500
Zn  0.500  0.500  0.000
Pd  0.500  0.500  0.500

Computed properties:
N(E_F)	5.6	states/eV per cell
energy	-3.822	eV/atom
ΔE_f	792	meV/atom

=====

DFT (PBE) results for an optimized crystal structure of KTbHgTe3.

a b c (Å): 9.383 4.517 10.838
angles (deg): 90.00 107.31 90.00
Element x y z (fractional)
K  0.218  0.250  0.252
K  0.782  0.750  0.748
Tb  0.325  0.750  0.861
Tb  0.675  0.250  0.139
Hg  0.088  0.250  0.613
Hg  0.912  0.750  0.387
Te  0.095  0.250  0.873
Te  0.244  0.750  0.545
Te  0.456  0.750  0.156
Te  0.544  0.250  0.844
Te  0.756  0.250  0.455
Te  0.905  0.750  0.127

Computed properties:
formation energy (no corrections)	-5.698	eV/f.u.
energy	-3.525	eV/atom

=====

DFT (PBE) results for an optimized crystal structure of RbPdBr.

a b c (Å): 6.745 6.745 4.831
angles (deg): 90.10 90.10 93.74
Element x y z (fractional)
Rb  0.231  0.769  0.000
Rb  0.769  0.231  0.000
Pd  0.722  0.722  0.999
Pd  0.875  0.875  0.499
Br  0.145  0.145  0.501
Br  0.612  0.612  0.498

Computed properties:
formation energy (no corrections)	-2.074	eV/f.u.
N(E_F)	0.0	states/eV per cell
polymorph energy (0 for the lowest one)	30	meV/atom
energy	-3.302	eV/atom

=====

DFT (PBE) results for an optimized crystal structure of PrHo4Er2Sc.

a b c (Å): 9.363 9.363 9.363
angles (deg): 137.94 103.53 91.35
Element x y z (fractional)
Pr  0.500  0.000  0.000
Pr  0.500  0.500  0.500
Ho  0.240  0.742  0.498
Ho  0.247  0.253  0.506
Ho  0.247  0.741  0.994
Ho  0.255  0.258  0.998
Ho  0.745  0.742  0.002
Ho  0.753  0.259  0.006
Ho  0.753  0.747  0.494
Ho  0.760  0.258  0.502
Er  0.000  0.000  0.000
Er  0.000  0.000  0.500
Er  0.000  0.500  0.000
Er  0.500  0.000  0.500
Sc  0.000  0.500  0.500
Sc  0.500  0.500  0.000

Computed properties:
N(E_F)	36.3	states/eV per cell
energy	-4.376	eV/atom
ΔE_f	443	meV/atom

=====

DFT (PBE) results for an optimized crystal structure of CdNiSnPd.

a b c (Å): 4.571 4.571 4.571
angles (deg): 60.00 60.00 60.00
Element x y z (fractional)
Cd  0.000  0.000  0.000
Ni  0.250  0.250  0.250
Sn  0.500  0.500  0.500
Pd  0.750  0.750  0.750

Computed properties:
N(E_F)	2.5	states/eV per cell
energy	-4.192	eV/atom
ΔE_f	-219	meV/atom

=====

What did the seventh record say?
DFT (PBE) results for an optimized crystal structure of Pm2Pr2Rh3.

a b c (Å): 4.189 7.065 7.095
angles (deg): 100.41 90.09 107.18
Element x y z (fractional)
Pm  0.138  0.272  0.361
Pm  0.862  0.728  0.639
Pr  0.376  0.751  0.116
Pr  0.624  0.249  0.884
Rh  0.000  0.000  0.000
Rh  0.240  0.483  0.742
Rh  0.760  0.517  0.258

Computed properties:
N(E_F)	4.1	states/eV per cell
polymorph energy (0 for the lowest one)	83	meV/atom
energy	-6.418	eV/atom
ΔE_f	-544	meV/atom

=====

> Among the records above, which one has the highest energy?

RbPdBr

=====

> What is the energy in the first record?

-6.095 eV/atom

=====

> energy of number 2 (Zr2GaO)?

-7.322 eV/atom